Crystalline V2CdSnW at its relaxed geometry, computed with PBE-GGA.

Structure (extended XYZ):
```
5
Lattice="4.8036 0.0000 0.0000 0.0000 4.8036 0.0000 0.0000 0.0000 4.9125" Properties=species:S:1:pos:R:3 pbc="T T T"
V 0.0000 2.4018 0.0000
V 2.4018 0.0000 0.0000
Cd 0.0000 0.0000 2.4562
Sn 0.0000 0.0000 0.0000
W 2.4018 2.4018 2.4562
```

Summary:
**E_form**: 2.18 eV per atom
**M_tot**: 0.402 μB per atom
**DOS at the Fermi energy**: 7.9 states/eV per cell
**Volume**: 113.35 Å³/cell